# 1
Below is Nd6Ho3Er2Mg after structural relaxation, with properties calculated at the PBE-GGA level.

Geometry as extended XYZ:
```
12
Lattice="6.2271 -0.0018 0.0070 -3.1136 5.3928 0.0070 -1.0540 -1.8249 11.5519" Properties=species:S:1:pos:R:3 pbc="T T T"
Nd 3.1015 1.7803 8.6963
Nd 2.0704 3.5848 2.8896
Nd -1.0420 1.7858 2.8697
Nd -0.0080 3.5761 8.6963
Nd -0.0108 -0.0188 8.6764
Nd 2.0675 -0.0101 2.8697
Ho -2.0842 3.5815 5.7830
Ho 4.1438 -0.0154 5.7830
Ho 1.0298 1.7830 5.7830
Er 0.0008 3.5941 0.0070
Er 3.1127 1.7969 0.0070
Mg 0.0000 0.0000 0.0000
```

Crystal system   monoclinic
Calculated total energy   -52.8 eV/f.u.

# 2
Below is Sm2DyErSc4 after structural relaxation, with properties calculated at the PBE-GGA level.

Geometry as extended XYZ:
```
8
Lattice="-2.1662 0.3767 -2.6394 3.8547 -2.7979 -3.5630 -3.4191 -10.5509 1.3000" Properties=species:S:1:pos:R:3 pbc="T T T"
Sm -3.4191 -10.5509 1.3000
Sm -2.7926 -5.0871 -0.6697
Dy 0.2178 -6.6744 -1.1315
Er 0.8443 -1.2106 -3.1012
Sc 0.3199 -10.0125 -1.6918
Sc -2.0504 -2.9595 -3.2106
Sc 0.9513 -4.5424 -3.6646
Sc -2.6818 -8.4296 -1.2378
```

Crystal system   monoclinic
Calculated total energy   -43.4 eV/f.u.

# 3
Below is ZnTeHI2 after structural relaxation, with properties calculated at the PBE-GGA level.

Geometry as extended XYZ:
```
5
Lattice="-1.1712 -4.6136 3.3336 5.3672 -2.0284 -0.9215 1.2625 1.9273 3.1108" Properties=species:S:1:pos:R:3 pbc="T T T"
I 2.6836 -1.0142 -0.4608
I -0.5856 -2.3068 1.6668
H 0.0000 0.0000 0.0000
Zn 2.7292 -2.3574 2.7615
Te 0.6312 0.9636 1.5554
```

Crystal system   tetragonal
Distance to the lowest polymorph of the same formula   0.0 meV per atom

# 4
Below is Si2AgOs after structural relaxation, with properties calculated at the PBE-GGA level.

Geometry as extended XYZ:
```
4
Lattice="6.6435 0.0137 -0.0051 4.9960 4.3791 0.0051 -5.5980 -2.7841 2.2468" Properties=species:S:1:pos:R:3 pbc="T T T"
Ag 5.1776 1.9540 0.0000
Os 2.2473 1.7592 1.1259
Si 0.6869 0.2592 0.0000
Si 3.7496 -0.1674 1.1209
```

Crystal system   orthorhombic
Distance to the lowest polymorph of the same formula   84.7 meV per atom